# 1
# ZnIn4Se | Alexandria via LeMat-Bulk | PBE | relaxed
# formation energy (no corrections)	0.223	eV per atom
# final energy	-2.396	eV/atom
# total magnetization	0.000	μB per atom
data_ZnIn4Se
_space_group_name_H-M_alt 'F -4 3 m'
_space_group_IT_number 216
_space_group_name_Hall 'F -4 2 3'
_cell_length_a 8.7230
_cell_length_b 8.7230
_cell_length_c 8.7230
_cell_angle_alpha 90.00
_cell_angle_beta 90.00
_cell_angle_gamma 90.00
loop_
_atom_site_label
_atom_site_fract_x
_atom_site_fract_y
_atom_site_fract_z
Zn1 0.0000 0.0000 0.0000
In1 0.1249 0.1249 0.6249
Se1 0.2500 0.2500 0.2500

=====

# 2
# RbPmEu2 | Alexandria via LeMat-Bulk | PBE | relaxed
# ΔE_f	0.1750	eV/atom
# final energy	-6.392	eV/atom
# total magnetization	3.886	μB per atom
data_RbPmEu2
_space_group_name_H-M_alt 'P 4/m m m'
_space_group_IT_number 123
_space_group_name_Hall '-P 4 2'
_cell_length_a 3.9158
_cell_length_b 3.9158
_cell_length_c 12.4495
_cell_angle_alpha 90.00
_cell_angle_beta 90.00
_cell_angle_gamma 90.00
loop_
_atom_site_label
_atom_site_fract_x
_atom_site_fract_y
_atom_site_fract_z
Rb1 0.0000 0.0000 0.0000
Pm1 0.0000 0.0000 0.5000
Eu1 0.5000 0.5000 0.2961